[1]
Here is an optimized crystal structure of Ce2YIr9 from the Alexandria database. Energies are from GGA-PBE.

Unit cell a=5.3137 b=5.3137 c=9.3782 alpha=73.54 beta=73.54 gamma=60.00
Atoms (fractional coordinates):
Ce1 0.8611 0.8611 0.4168
Ce2 0.1389 0.1389 0.5832
Y1 0.0000 0.0000 0.0000
Ir1 0.6672 0.6672 0.9984
Ir2 0.3328 0.3328 0.0016
Ir3 0.5000 0.5000 0.5000
Ir4 0.4177 0.4177 0.2460
Ir5 0.9186 0.4177 0.2460
Ir6 0.4177 0.9186 0.2460
Ir7 0.5823 0.5823 0.7540
Ir8 0.5823 0.0814 0.7540
Ir9 0.0814 0.5823 0.7540

Calculated values
As for the space-group type: R-3m. The value obtained for the energy of formation is -0.58 eV per atom. The total energy comes out at -105.09 eV for the cell shown.

[2]
Here is an optimized crystal structure of Cr2AgP from the Alexandria database. Energies are from GGA-PBE.

Unit cell a=4.4642 b=4.4642 c=4.5749 alpha=66.08 beta=66.08 gamma=42.74
Each line ends with the local moment (μB).
Atoms (fractional coordinates):
Ag1 0.2500 0.2500 0.2500  0.01
Cr1 0.0436 0.0436 0.9143  0.30
Cr2 0.4564 0.4564 0.5857  0.30
P1 0.7500 0.7500 0.7500  -0.01

Calculated values
As for the space-group type: C2/m. The value obtained for the energy of formation is 0.33 eV per atom. The total energy comes out at -26.19 eV for the cell shown.

[3]
Here is an optimized crystal structure of Cs2Tl4In3Bi from the Alexandria database. Energies are from GGA-PBE.

Unit cell a=5.3943 b=5.3943 c=12.7792 alpha=90.00 beta=90.00 gamma=90.00
Atoms (fractional coordinates):
Cs1 0.5000 0.0000 0.2516
Cs2 0.0000 0.5000 0.7484
Tl1 0.5000 0.5000 0.0000
Tl2 0.0000 0.0000 0.0000
Tl3 0.5000 0.0000 0.6396
Tl4 0.0000 0.5000 0.3604
In1 0.0000 0.0000 0.5000
In2 0.5000 0.0000 0.8802
In3 0.0000 0.5000 0.1198
Bi1 0.5000 0.5000 0.5000

Calculated values
As for the space-group type: P-4m2. The value obtained for the energy of formation is -0.10 eV per atom. The total energy comes out at -24.25 eV for the cell shown.

[4]
Here is an optimized crystal structure of CaCd2Ir from the Alexandria database. Energies are from GGA-PBE.

Unit cell a=4.8686 b=4.8686 c=4.8686 alpha=60.00 beta=60.00 gamma=60.00
Atoms (fractional coordinates):
Ca1 0.0000 0.0000 0.0000
Ir1 0.5000 0.5000 0.5000
Cd1 0.2500 0.2500 0.2500
Cd2 0.7500 0.7500 0.7500

Calculated values
As for the space-group type: Fm-3m. The value obtained for the energy of formation is -0.11 eV per atom. The total energy comes out at -13.11 eV for the cell shown.

[5]
Here is an optimized crystal structure of TaCoSi2B from the Alexandria database. Energies are from GGA-PBE.

Unit cell a=4.8852 b=4.8852 c=4.5135 alpha=90.00 beta=90.00 gamma=90.00
Each line ends with the local moment (μB).
Atoms (fractional coordinates):
Si1 0.0000 0.5000 0.0000  0.02
Si2 0.5000 0.0000 0.0000  0.02
B1 0.5000 0.5000 0.5000  0.01
Co1 0.0000 0.0000 0.5000  1.22
Ta1 0.0000 0.0000 0.0000  -0.04

Calculated values
The uncorrected formation energy is 1913 meV/atom. As for the space-group type: P4/mmm. The total energy comes out at -26.92 eV for the cell shown.

[6]
Here is an optimized crystal structure of MgZn4Cu2 from the Alexandria database. Energies are from GGA-PBE.

Unit cell a=7.1706 b=7.1706 c=7.1706 alpha=140.12 beta=140.12 gamma=57.67
Atoms (fractional coordinates):
Mg1 0.0000 0.0000 0.0000
Zn1 0.5000 0.0000 0.5000
Zn2 0.0000 0.5000 0.5000
Zn3 0.2179 0.2179 0.0000
Zn4 0.7821 0.7821 0.0000
Cu1 0.4081 0.4081 0.0000
Cu2 0.5919 0.5919 0.0000

Calculated values
As for the space-group type: I4/mmm. The value obtained for the energy of formation is 0.52 eV per atom. The energy above the most stable polymorph in this dataset is 583 meV/atom. The total energy comes out at -11.25 eV for the cell shown.